First-principles (PBE) data for a relaxed Ac4SbTeS2 crystal, as listed in the Alexandria database.

Lattice parameters (Å, degrees): 6.455 6.455 12.942 90.00 90.00 90.00
Space group I4/mmm (No. 139)
Asymmetric unit:
Ac 0.000 0.000 0.248 (multiplicity 4)
Ac 0.000 0.500 0.000 (multiplicity 4)
Sb 0.000 0.000 0.000 (multiplicity 2)
Te 0.000 0.000 0.500 (multiplicity 2)
S 0.000 0.500 0.250 (multiplicity 4)

## Properties
ΔE_f (raw) (meV/atom): -1593.2
E_tot (eV/atom): -5.587